# 1
## PrZn (PBE-GGA)

Data for a relaxed PrZn crystal.

DFT formation energy ... -311.7 meV/atom
Spin magnetization ... 0.01 Bohr magnetons per cell
Symmetry ... Pm-3m (221)

Lattice parameters (Å, degrees): 3.6994 3.6994 3.6994 90.00 90.00 90.00
With the nearest neighbours (Å) after each atom.
Positions (direct):
Pr (0.0000, 0.0000, 0.0000)  8 Zn 3.20
Zn (0.5000, 0.5000, 0.5000)  8 Pr 3.20

=====

# 2
## PrZn (PBE-GGA)

Data for a relaxed PrZn crystal.

DFT formation energy ... -176.5 meV/atom
Spin magnetization ... 0.00 Bohr magnetons per cell
Symmetry ... Pmmn (59)

Lattice parameters (Å, degrees): 9.8860 3.9651 5.2697 90.00 90.00 90.00
With the nearest neighbours (Å) after each atom.
Positions (direct):
Pr (0.5050, 0.0000, 0.0000)  2 Zn 3.13, 4 Pr 3.42
Pr (0.1572, 0.5000, 0.0000)  8 Zn 3.04-3.30
Pr (0.7595, 0.0000, 0.5000)  8 Zn 3.04-3.30
Pr (0.4117, 0.5000, 0.5000)  2 Zn 3.13, 4 Pr 3.42
Zn (0.9238, 0.0000, 0.0000)  2 Zn 2.63
Zn (0.7497, 0.5000, 0.0000)  2 Zn 2.63
Zn (0.1670, 0.0000, 0.5000)  2 Zn 2.63
Zn (0.9928, 0.5000, 0.5000)  2 Zn 2.63

=====

Q: Look up the DFT formation energy of the first one.
A: -311.7 meV/atom

=====

Q: Which value of DFT formation energy does entry 1 give?
A: -311.7 meV/atom